The following is a PBE calculation of crystalline KMnZn2Cl8 at its relaxed geometry, from Alexandria via LeMat-Bulk.

Its total magnetization is 4.00 μB/f.u. The calculation puts the calculated density at 2.55 g cm⁻³. For the density of states at the Fermi level, the calculation gives 6.41 states/eV/f.u. Its raw formation energy is -1.164 eV/atom.

It has space group R-3 (No. 148, hexagonal axes), with a = 6.1993 Å, b = 6.1993 Å, c = 29.8884 Å, α = 90.00°, β = 90.00° and γ = 120.00°. The inequivalent atoms are K at (0.0000, 0.0000, 0.0000), Mn at (0.0000, 0.0000, 0.5000), Zn at (0.0000, 0.0000, 0.2379), Cl at (0.0000, 0.0000, 0.3124) and Cl at (0.0122, 0.3618, 0.2140).